[1]
Pm2Y6Er2Tm | PBE | optimized geometry

Output
Crystal system ... monoclinic
Density ... 6105 kg/m³
DFT formation energy ... 14 kJ/mol of atoms

Geometry as CIF:
```
data_Pm2Y6Er2Tm
_chemical_formula_sum 'Pm2 Y6 Er2 Tm1'
_symmetry_space_group_name_H-M 'P 1'
_symmetry_Int_Tables_number 1
_symmetry_space_group_name_Hall 'P 1'
_cell_length_a 6.645
_cell_length_b 6.645
_cell_length_c 12.023
_cell_angle_alpha 101.49
_cell_angle_beta 101.49
_cell_angle_gamma 129.69
loop_
_atom_site_label
_atom_site_type_symbol
_atom_site_fract_x
_atom_site_fract_y
_atom_site_fract_z
_atom_site_occupancy
Pm1 Pm 0.865 0.135 0.000 1
Pm2 Pm 0.135 0.865 0.000 1
Y1 Y 0.705 0.705 0.704 1
Y2 Y 0.136 0.443 0.788 1
Y3 Y 0.295 0.295 0.296 1
Y4 Y 0.443 0.136 0.788 1
Y5 Y 0.864 0.557 0.212 1
Y6 Y 0.557 0.864 0.212 1
Er1 Er 0.295 0.705 0.500 1
Er2 Er 0.705 0.295 0.500 1
Tm1 Tm 0.000 0.000 0.500 1
```

[2]
Pm6YEr3Tm2 | PBE | optimized geometry

Output
Crystal system ... monoclinic
Density ... 7704 kg/m³
DFT formation energy ... 1 kJ/mol of atoms

Geometry as CIF:
```
data_Pm6YEr3Tm2
_chemical_formula_sum 'Pm6 Y1 Er3 Tm2'
_symmetry_space_group_name_H-M 'P 1'
_symmetry_Int_Tables_number 1
_symmetry_space_group_name_Hall 'P 1'
_cell_length_a 6.219
_cell_length_b 6.219
_cell_length_c 11.753
_cell_angle_alpha 95.04
_cell_angle_beta 95.04
_cell_angle_gamma 119.98
loop_
_atom_site_label
_atom_site_type_symbol
_atom_site_fract_x
_atom_site_fract_y
_atom_site_fract_z
_atom_site_occupancy
Pm1 Pm 0.916 0.582 0.750 1
Pm2 Pm 0.749 0.749 0.250 1
Pm3 Pm 0.084 0.418 0.250 1
Pm4 Pm 0.582 0.916 0.750 1
Pm5 Pm 0.251 0.251 0.750 1
Pm6 Pm 0.418 0.084 0.250 1
Y1 Y 0.000 0.000 0.000 1
Er1 Er 0.167 0.833 0.500 1
Er2 Er 0.833 0.167 0.500 1
Er3 Er 0.500 0.500 0.500 1
Tm1 Tm 0.333 0.667 0.000 1
Tm2 Tm 0.667 0.333 0.000 1
```

[3]
Pm2Y2Er4Tm | PBE | optimized geometry

Output
Crystal system ... monoclinic
Density ... 7595 kg/m³
DFT formation energy ... 0 kJ/mol of atoms

Geometry as CIF:
```
data_Pm2Y2Er4Tm
_chemical_formula_sum 'Pm2 Y2 Er4 Tm1'
_symmetry_space_group_name_H-M 'P 1'
_symmetry_Int_Tables_number 1
_symmetry_space_group_name_Hall 'P 1'
_cell_length_a 3.581
_cell_length_b 9.468
_cell_length_c 9.522
_cell_angle_alpha 115.26
_cell_angle_beta 90.00
_cell_angle_gamma 100.90
loop_
_atom_site_label
_atom_site_type_symbol
_atom_site_fract_x
_atom_site_fract_y
_atom_site_fract_z
_atom_site_occupancy
Pm1 Pm 0.335 0.670 0.999 1
Pm2 Pm 0.665 0.330 0.001 1
Y1 Y 0.853 0.706 0.337 1
Y2 Y 0.147 0.294 0.663 1
Er1 Er 0.815 0.630 0.664 1
Er2 Er 0.185 0.370 0.336 1
Er3 Er 0.519 0.038 0.333 1
Er4 Er 0.481 0.962 0.667 1
Tm1 Tm 0.000 0.000 0.000 1
```

[4]
PmY2Er2Tm2 | PBE | optimized geometry

Output
Crystal system ... monoclinic
Density ... 7277 kg/m³
DFT formation energy ... 14 kJ/mol of atoms

Geometry as CIF:
```
data_PmY2Er2Tm2
_chemical_formula_sum 'Pm1 Y2 Er2 Tm2'
_symmetry_space_group_name_H-M 'P 1'
_symmetry_Int_Tables_number 1
_symmetry_space_group_name_Hall 'P 1'
_cell_length_a 3.489
_cell_length_b 9.167
_cell_length_c 8.266
_cell_angle_alpha 118.37
_cell_angle_beta 90.00
_cell_angle_gamma 100.97
loop_
_atom_site_label
_atom_site_type_symbol
_atom_site_fract_x
_atom_site_fract_y
_atom_site_fract_z
_atom_site_occupancy
Pm1 Pm 0.000 0.000 0.500 1
Y1 Y 0.649 0.298 0.909 1
Y2 Y 0.351 0.702 0.091 1
Er1 Er 0.790 0.580 0.379 1
Er2 Er 0.210 0.420 0.621 1
Tm1 Tm 0.428 0.856 0.767 1
Tm2 Tm 0.572 0.144 0.233 1
```

[5]
Pm6Y2Er3Tm | PBE | optimized geometry

Output
Crystal system ... monoclinic
Density ... 7316 kg/m³
DFT formation energy ... 1 kJ/mol of atoms

Geometry as CIF:
```
data_Pm6Y2Er3Tm
_chemical_formula_sum 'Pm6 Y2 Er3 Tm1'
_symmetry_space_group_name_H-M 'P 1'
_symmetry_Int_Tables_number 1
_symmetry_space_group_name_Hall 'P 1'
_cell_length_a 6.230
_cell_length_b 6.230
_cell_length_c 11.784
_cell_angle_alpha 95.04
_cell_angle_beta 95.04
_cell_angle_gamma 119.98
loop_
_atom_site_label
_atom_site_type_symbol
_atom_site_fract_x
_atom_site_fract_y
_atom_site_fract_z
_atom_site_occupancy
Pm1 Pm 0.916 0.584 0.749 1
Pm2 Pm 0.752 0.752 0.251 1
Pm3 Pm 0.084 0.416 0.251 1
Pm4 Pm 0.584 0.916 0.749 1
Pm5 Pm 0.248 0.248 0.749 1
Pm6 Pm 0.416 0.084 0.251 1
Y1 Y 0.333 0.667 0.000 1
Y2 Y 0.667 0.333 0.000 1
Er1 Er 0.167 0.833 0.500 1
Er2 Er 0.833 0.167 0.500 1
Er3 Er 0.500 0.500 0.500 1
Tm1 Tm 0.000 0.000 0.000 1
```

[6]
Pm3YEr2Tm6 | PBE | optimized geometry

Output
Crystal system ... monoclinic
Density ... 8283 kg/m³
DFT formation energy ... 2 kJ/mol of atoms

Geometry as CIF:
```
data_Pm3YEr2Tm6
_chemical_formula_sum 'Pm3 Y1 Er2 Tm6'
_symmetry_space_group_name_H-M 'P 1'
_symmetry_Int_Tables_number 1
_symmetry_space_group_name_Hall 'P 1'
_cell_length_a 6.137
_cell_length_b 6.137
_cell_length_c 11.683
_cell_angle_alpha 95.02
_cell_angle_beta 95.02
_cell_angle_gamma 119.96
loop_
_atom_site_label
_atom_site_type_symbol
_atom_site_fract_x
_atom_site_fract_y
_atom_site_fract_z
_atom_site_occupancy
Pm1 Pm 0.167 0.833 0.500 1
Pm2 Pm 0.833 0.167 0.500 1
Pm3 Pm 0.500 0.500 0.500 1
Y1 Y 0.000 0.000 0.000 1
Er1 Er 0.333 0.667 0.000 1
Er2 Er 0.667 0.333 0.000 1
Tm1 Tm 0.918 0.583 0.753 1
Tm2 Tm 0.748 0.748 0.247 1
Tm3 Tm 0.082 0.417 0.247 1
Tm4 Tm 0.583 0.918 0.753 1
Tm5 Tm 0.252 0.252 0.753 1
Tm6 Tm 0.417 0.082 0.247 1
```